First-principles (PBE) data for crystalline Sr2Ge3SbAu4 at its relaxed geometry, as listed in the Alexandria database.

Values from the calculation:
space group	P-4m2, No. 115
DOS(E_F)	4.215	states/eV per cell
uncorrected formation energy	-0.502	eV per atom
volume	23.36	Å³/atom

Structure (POSCAR):
```
Sr2Ge3SbAu4
1.0
-4.071 1.556 1.431
-1.944 -1.538 -3.859
-2.007 -9.759 4.901
Ge Au Sr Sb
3 4 2 1
Direct
0.500 0.000 0.877
0.000 0.500 0.123
0.000 0.000 0.500
0.500 0.000 0.648
0.000 0.000 0.000
0.000 0.500 0.352
0.500 0.500 0.000
0.500 0.000 0.236
0.000 0.500 0.764
0.500 0.500 0.500
```